# 1
Fe2SnSb PBE-GGA relaxed; symmetry = Pm-3m, No. 221
1.0
6.321 0.000 0.000
0.000 6.321 0.000
0.000 0.000 6.321
Fe Sn Sb
8 4 4
Cartesian
1.557 1.557 1.557 Fe
1.557 1.557 4.764 Fe
1.557 4.764 1.557 Fe
1.557 4.764 4.764 Fe
4.764 1.557 1.557 Fe
4.764 1.557 4.764 Fe
4.764 4.764 1.557 Fe
4.764 4.764 4.764 Fe
0.000 3.161 3.161 Sn
3.161 0.000 3.161 Sn
3.161 3.161 0.000 Sn
3.161 3.161 3.161 Sn
0.000 0.000 0.000 Sb
0.000 0.000 3.161 Sb
0.000 3.161 0.000 Sb
3.161 0.000 0.000 Sb

***

# 2
Fe2SnSb PBE-GGA relaxed; symmetry = Pm-3m, No. 221
1.0
6.321 0.000 0.000
0.000 6.321 0.000
0.000 0.000 6.321
Fe Sn Sb
8 4 4
Cartesian
1.557 1.557 1.557 Fe
1.557 1.557 4.764 Fe
1.557 4.764 1.557 Fe
1.557 4.764 4.764 Fe
4.764 1.557 1.557 Fe
4.764 1.557 4.764 Fe
4.764 4.764 1.557 Fe
4.764 4.764 4.764 Fe
0.000 3.161 3.161 Sn
3.161 0.000 3.161 Sn
3.161 3.161 0.000 Sn
3.161 3.161 3.161 Sn
0.000 0.000 0.000 Sb
0.000 0.000 3.161 Sb
0.000 3.161 0.000 Sb
3.161 0.000 0.000 Sb

***

# 3
ZnFeSn2Sb4 PBE-GGA relaxed; symmetry = I-4, No. 82
1.0
-3.165 3.165 6.363
3.165 -3.165 6.363
3.165 3.165 -6.363
Zn Fe Sn Sb
1 1 2 4
Cartesian
0.000 0.000 0.000 Zn
0.000 3.165 3.181 Fe
3.165 0.000 3.181 Sn
0.000 0.000 6.363 Sn
4.694 1.346 -1.636 Sb
1.346 1.636 1.636 Sb
-1.529 1.819 4.726 Sb
1.819 1.529 7.999 Sb

***

# 4
Sr2FeSb2 PBE-GGA relaxed; symmetry = Cmc2_1, No. 36
1.0
2.327 -8.569 0.000
2.327 8.569 0.000
0.000 0.000 8.025
Sr Fe Sb
4 2 4
Cartesian
2.327 8.085 4.012 Sr
2.327 4.959 1.486 Sr
2.327 -4.959 5.499 Sr
2.327 -8.085 0.000 Sr
2.327 1.505 2.949 Fe
2.327 -1.505 6.961 Fe
2.327 5.843 6.352 Sb
2.327 1.081 5.697 Sb
2.327 -1.081 1.685 Sb
2.327 -5.843 2.340 Sb

***

# 5
SrFe4Sb12 PBE-GGA relaxed; symmetry = Im-3, No. 204
1.0
-4.603 4.603 4.603
4.603 -4.603 4.603
4.603 4.603 -4.603
Sr Fe Sb
1 4 12
Cartesian
0.000 0.000 0.000 Sr
2.301 2.301 -2.301 Fe
2.301 -2.301 2.301 Fe
-2.301 2.301 2.301 Fe
2.301 2.301 2.301 Fe
3.094 0.000 1.500 Sb
6.112 0.000 1.500 Sb
4.603 3.103 -1.509 Sb
1.500 3.094 0.000 Sb
3.103 -1.509 4.603 Sb
0.000 1.500 3.094 Sb
4.603 3.103 1.509 Sb
1.500 6.112 0.000 Sb
3.103 1.509 4.603 Sb
0.000 1.500 6.112 Sb
-1.509 4.603 3.103 Sb
1.509 4.603 3.103 Sb

***

# 6
SrFeSb2 PBE-GGA relaxed; symmetry = F-43m, No. 216
1.0
0.000 3.629 3.629
3.629 0.000 3.629
3.629 3.629 0.000
Sr Fe Sb
1 1 2
Cartesian
0.000 0.000 0.000 Sr
1.815 1.815 1.815 Fe
3.629 3.629 3.629 Sb
5.444 5.444 5.444 Sb

***

# 7
TaFeSb PBE-GGA relaxed; symmetry = P-62m, No. 189
1.0
6.405 0.000 0.000
-3.202 5.547 0.000
0.000 0.000 4.175
Ta Fe Sb
3 3 3
Cartesian
-1.808 3.132 0.000 Ta
1.394 2.415 0.000 Ta
3.616 0.000 0.000 Ta
-0.764 1.323 2.088 Fe
1.528 0.000 2.088 Fe
2.438 4.223 2.088 Fe
0.000 0.000 0.000 Sb
0.000 3.698 2.088 Sb
3.202 1.849 2.088 Sb

***

# 8
TaFeSb PBE-GGA relaxed; symmetry = P6_3mc, No. 186
1.0
4.239 0.000 0.000
-2.120 3.671 0.000
0.000 0.000 6.555
Ta Fe Sb
2 2 2
Cartesian
0.000 0.000 0.000 Ta
0.000 0.000 3.278 Ta
0.000 2.447 2.474 Fe
2.120 1.224 5.752 Fe
0.000 2.447 4.978 Sb
2.120 1.224 1.700 Sb

***

# 9
TaFeSb PBE-GGA relaxed; symmetry = P6_3/mmc, No. 194
1.0
4.474 0.000 0.000
-2.237 3.875 0.000
0.000 0.000 5.616
Ta Fe Sb
2 2 2
Cartesian
0.000 0.000 0.000 Ta
0.000 0.000 2.808 Ta
0.000 2.583 1.404 Fe
2.237 1.292 4.212 Fe
0.000 2.583 4.212 Sb
2.237 1.292 1.404 Sb

***

# 10
TaFeSb PBE-GGA relaxed; symmetry = Pnma, No. 62
1.0
6.582 0.000 0.000
0.000 4.150 0.000
0.000 0.000 7.339
Ta Fe Sb
4 4 4
Cartesian
0.077 1.038 1.624 Ta
3.213 3.113 5.293 Ta
3.368 1.038 2.045 Ta
6.504 3.113 5.715 Ta
0.810 1.038 4.195 Fe
2.481 3.113 0.526 Fe
4.101 1.038 6.813 Fe
5.772 3.113 3.143 Fe
1.616 1.038 6.623 Sb
1.675 3.113 2.954 Sb
4.907 1.038 4.385 Sb
4.966 3.113 0.715 Sb

***

# 11
TaFeSb PBE-GGA relaxed; symmetry = P-62m, No. 189
1.0
6.741 0.000 0.000
-3.370 5.838 0.000
0.000 0.000 3.760
Ta Fe Sb
3 3 3
Cartesian
-2.039 3.532 0.000 Ta
1.331 2.306 0.000 Ta
4.078 0.000 0.000 Ta
0.000 0.000 0.000 Fe
0.000 3.892 1.880 Fe
3.370 1.946 1.880 Fe
-0.922 1.597 1.880 Sb
1.844 0.000 1.880 Sb
2.448 4.241 1.880 Sb

***

# 12
YTaFeSb PBE-GGA relaxed; energy above the most stable polymorph in this dataset = 0.0 meV/atom; symmetry = F-43m, No. 216
1.0
0.000 3.368 3.368
3.368 0.000 3.368
3.368 3.368 0.000
Y Ta Fe Sb
1 1 1 1
Cartesian
0.000 0.000 0.000 Y
1.684 1.684 1.684 Ta
5.052 5.052 5.052 Fe
3.368 3.368 3.368 Sb

***

# 13
TaZnFeSb PBE-GGA relaxed; energy above the most stable polymorph in this dataset = 39.3 meV/atom; symmetry = F-43m, No. 216
1.0
0.000 3.209 3.209
3.209 0.000 3.209
3.209 3.209 0.000
Ta Zn Fe Sb
1 1 1 1
Cartesian
0.000 0.000 0.000 Ta
4.813 4.813 4.813 Zn
3.209 3.209 3.209 Fe
1.604 1.604 1.604 Sb

***

# 14
TaZnFeSb PBE-GGA relaxed; energy above the most stable polymorph in this dataset = 0.0 meV/atom; symmetry = F-43m, No. 216
1.0
0.000 3.185 3.185
3.185 0.000 3.185
3.185 3.185 0.000
Ta Zn Fe Sb
1 1 1 1
Cartesian
0.000 0.000 0.000 Ta
1.593 1.593 1.593 Zn
4.778 4.778 4.778 Fe
3.185 3.185 3.185 Sb

***

# 15
TbFeSb3 PBE-GGA relaxed; symmetry = Pbcm, No. 57
1.0
12.422 0.000 0.000
0.000 6.143 0.000
0.000 0.000 12.038
Tb Fe Sb
8 8 24
Cartesian
2.423 1.353 3.009 Tb
2.423 1.718 9.028 Tb
2.495 4.607 0.000 Tb
2.495 4.607 6.019 Tb
9.927 1.536 0.000 Tb
9.927 1.536 6.019 Tb
9.999 4.424 3.009 Tb
9.999 4.790 9.028 Tb
4.925 0.223 7.685 Fe
4.925 0.223 10.372 Fe
4.925 2.848 1.666 Fe
4.925 2.848 4.353 Fe
7.498 3.294 7.685 Fe
7.498 3.294 10.372 Fe
7.498 5.920 1.666 Fe
7.498 5.920 4.353 Fe
0.040 0.085 7.512 Sb
0.040 0.085 10.545 Sb
0.040 2.986 1.493 Sb
0.040 2.986 4.526 Sb
3.428 1.536 0.000 Sb
3.428 1.536 6.019 Sb
3.469 4.511 3.009 Sb
3.469 4.703 9.028 Sb
5.489 0.699 3.009 Sb
5.489 2.372 9.028 Sb
5.860 4.607 0.000 Sb
5.860 4.607 6.019 Sb
6.562 1.536 0.000 Sb
6.562 1.536 6.019 Sb
6.933 3.771 3.009 Sb
6.933 5.443 9.028 Sb
8.953 1.440 3.009 Sb
8.953 1.632 9.028 Sb
8.995 4.607 0.000 Sb
8.995 4.607 6.019 Sb
12.382 3.156 7.512 Sb
12.382 3.156 10.545 Sb
12.382 6.058 1.493 Sb
12.382 6.058 4.526 Sb

***

# 16
Fe3Tc2Sb PBE-GGA relaxed; symmetry = P6/mmm, No. 191
1.0
4.793 0.000 0.000
-2.397 4.151 0.000
0.000 0.000 4.445
Fe Tc Sb
3 2 1
Cartesian
-1.198 2.076 0.000 Fe
2.397 0.000 0.000 Fe
1.198 2.076 0.000 Fe
0.000 2.767 2.222 Tc
2.397 1.384 2.222 Tc
0.000 0.000 2.222 Sb

***

# 17
ZrFeTcSb PBE-GGA relaxed; energy above the most stable polymorph in this dataset = 0.0 meV/atom; symmetry = F-43m, No. 216
1.0
0.000 3.190 3.190
3.190 0.000 3.190
3.190 3.190 0.000
Zr Fe Tc Sb
1 1 1 1
Cartesian
0.000 0.000 0.000 Zr
4.786 4.786 4.786 Fe
1.595 1.595 1.595 Tc
3.190 3.190 3.190 Sb

***

# 18
ZrFeTcSb PBE-GGA relaxed; energy above the most stable polymorph in this dataset = 421.2 meV/atom; symmetry = F-43m, No. 216
1.0
0.000 3.245 3.245
3.245 0.000 3.245
3.245 3.245 0.000
Zr Fe Tc Sb
1 1 1 1
Cartesian
0.000 0.000 0.000 Zr
3.245 3.245 3.245 Fe
4.868 4.868 4.868 Tc
1.623 1.623 1.623 Sb

***

# 19
Fe2Sb3Te PBE-GGA relaxed; symmetry = Pm, No. 6
1.0
5.724 0.000 0.000
0.000 3.303 0.000
-0.075 0.000 6.469
Fe Sb Te
2 3 1
Cartesian
0.000 0.000 0.000 Fe
2.786 1.652 3.201 Fe
1.668 1.652 5.517 Sb
3.952 1.652 0.917 Sb
4.497 0.000 4.211 Sb
1.066 0.000 2.301 Te

***

# 20
FeSb2Te4 PBE-GGA relaxed; symmetry = R-3m, No. 166
1.0
2.104 1.215 13.735
-2.104 1.215 13.735
0.000 -2.429 13.735
Fe Sb Te
1 2 4
Cartesian
0.000 0.000 0.000 Fe
0.000 0.000 17.290 Sb
0.000 0.000 23.915 Sb
0.000 0.000 5.289 Te
0.000 0.000 12.281 Te
0.000 0.000 28.924 Te
0.000 0.000 35.916 Te

***

# 21
FeSb4W PBE-GGA relaxed; symmetry = Cmmm, No. 65
1.0
4.441 -4.491 0.000
4.441 4.491 0.000
0.000 0.000 3.618
Fe Sb W
1 4 1
Cartesian
0.000 0.000 0.000 Fe
1.749 0.000 1.809 Sb
4.441 2.008 0.000 Sb
4.441 -2.008 0.000 Sb
7.132 0.000 1.809 Sb
4.441 0.000 1.809 W

***

# 22
YFeSbW PBE-GGA relaxed; energy above the most stable polymorph in this dataset = 151.0 meV/atom; symmetry = F-43m, No. 216
1.0
0.000 3.341 3.341
3.341 0.000 3.341
3.341 3.341 0.000
Y Fe Sb W
1 1 1 1
Cartesian
0.000 0.000 0.000 Y
3.341 3.341 3.341 Fe
1.671 1.671 1.671 Sb
5.012 5.012 5.012 W

***

# 23
YFeSbW PBE-GGA relaxed; energy above the most stable polymorph in this dataset = 0.0 meV/atom; symmetry = F-43m, No. 216
1.0
0.000 3.322 3.322
3.322 0.000 3.322
3.322 3.322 0.000
Y Fe Sb W
1 1 1 1
Cartesian
0.000 0.000 0.000 Y
4.983 4.983 4.983 Fe
3.322 3.322 3.322 Sb
1.661 1.661 1.661 W

***

# 24
ZnFeSbW PBE-GGA relaxed; energy above the most stable polymorph in this dataset = 0.0 meV/atom; symmetry = F-43m, No. 216
1.0
0.000 3.152 3.152
3.152 0.000 3.152
3.152 3.152 0.000
Zn Fe Sb W
1 1 1 1
Cartesian
0.000 0.000 0.000 Zn
4.728 4.728 4.728 Fe
3.152 3.152 3.152 Sb
1.576 1.576 1.576 W

***

| no. | total DFT energy (no corrections) (eV per atom) |
| --- | --- |
| 1 | -5.85 |
| 2 | -5.85 |
| 3 | -4.16 |
| 4 | -4.53 |
| 5 | -5.14 |
| 6 | -4.26 |
| 7 | -7.94 |
| 8 | -8.15 |
| 9 | -7.99 |
| 10 | -8.04 |
| 11 | -8.03 |
| 12 | -7.29 |
| 13 | -6.00 |
| 14 | -6.04 |
| 15 | -5.53 |
| 16 | -8.05 |
| 17 | -8.08 |
| 18 | -7.65 |
| 19 | -5.44 |
| 20 | -4.15 |
| 21 | -6.04 |
| 22 | -7.33 |
| 23 | -7.48 |
| 24 | -6.12 |